DFT (PBE) results for a geometry-optimized CsNbIn2Se structure.

Structure (POSCAR):
```
CsNbIn2Se
1.0
5.610 0.000 0.000
0.000 5.106 0.000
0.000 0.000 5.610
In Cs Nb Se
2 1 1 1
direct
0.000 0.000 0.500
0.500 0.000 0.000
0.500 0.500 0.500
0.000 0.000 0.000
0.000 0.500 0.000
```

Values from the calculation:
Space-group type: P4/mmm (123)
Total DFT energy (no corrections) in eV/cell: -20.59
Energy relative to the elements, uncorrected in eV/f.u.: -0.7